Version P
Computed, not measured: crystalline Dy3Ho3Sc2 at its relaxed geometry at the PBE-GGA level of DFT.

Cell lengths 16.685, 5.410, 5.595 Å; angles 90.00, 109.26, 90.00 degrees
Positions (direct):
Dy: 0.000 0.000 0.000
Dy: 0.139 0.000 0.683
Dy: 0.361 0.500 0.317
Dy: 0.500 0.500 0.000
Dy: 0.639 0.500 0.683
Dy: 0.861 0.000 0.317
Ho: 0.000 0.500 0.500
Ho: 0.139 0.500 0.097
Ho: 0.361 0.000 0.903
Ho: 0.500 0.000 0.500
Ho: 0.639 0.000 0.097
Ho: 0.861 0.500 0.903
Sc: 0.250 0.000 0.308
Sc: 0.250 0.500 0.692
Sc: 0.750 0.000 0.692
Sc: 0.750 0.500 0.308

Results
Its space group is C2/m (12). The density of states at the Fermi level comes out at 32.7 states/eV/cell.

***

Version Q
Computed, not measured: crystalline Dy3Ho3Sc2 at its relaxed geometry at the PBE-GGA level of DFT.

Cell lengths 4.901, 4.908, 9.784 Å; angles 90.00, 90.00, 90.00 degrees
Positions (direct):
Dy: 0.000 0.000 0.000
Dy: 0.000 0.000 0.500
Dy: 0.500 0.500 0.000
Ho: 0.000 0.500 0.250
Ho: 0.000 0.500 0.750
Ho: 0.500 0.500 0.500
Sc: 0.500 0.000 0.250
Sc: 0.500 0.000 0.750

Results
Its space group is Pmmm (47). The density of states at the Fermi level comes out at 12.4 states/eV/cell.

***

Stability, descending: version Q, version P

***

Version P
Computed, not measured: crystalline Dy5Ho2Sc5 at its relaxed geometry at the PBE-GGA level of DFT.

Cell lengths 6.362, 6.362, 11.545 Å; angles 107.11, 107.11, 50.16 degrees
Positions (direct):
Dy: 0.000 0.000 0.000
Dy: 0.040 0.040 0.709
Dy: 0.253 0.253 0.244
Dy: 0.747 0.747 0.756
Dy: 0.960 0.960 0.291
Ho: 0.212 0.212 0.544
Ho: 0.788 0.788 0.456
Sc: 0.292 0.292 0.960
Sc: 0.459 0.459 0.799
Sc: 0.500 0.500 0.500
Sc: 0.541 0.541 0.201
Sc: 0.708 0.708 0.040

Results
Its space group is C2/m (12). The density of states at the Fermi level comes out at 22.1 states/eV/cell.

***

Version Q
Computed, not measured: crystalline Dy5Ho2Sc5 at its relaxed geometry at the PBE-GGA level of DFT.

Cell lengths 7.641, 7.641, 10.841 Å; angles 115.05, 115.05, 36.88 degrees
Positions (direct):
Dy: 0.000 0.000 0.000
Dy: 0.088 0.088 0.752
Dy: 0.165 0.165 0.499
Dy: 0.835 0.835 0.501
Dy: 0.912 0.912 0.248
Ho: 0.417 0.417 0.754
Ho: 0.583 0.583 0.246
Sc: 0.250 0.250 0.246
Sc: 0.329 0.329 0.998
Sc: 0.500 0.500 0.500
Sc: 0.671 0.671 0.002
Sc: 0.750 0.750 0.754

Results
Its space group is C2/m (12). The density of states at the Fermi level comes out at 17.7 states/eV/cell.

***

Stability, descending: version Q, version P

***

Version P
Computed, not measured: crystalline Dy6Ho2Sc at its relaxed geometry at the PBE-GGA level of DFT.

Cell lengths 6.072, 6.072, 10.527 Å; angles 106.81, 106.81, 48.18 degrees
Positions (direct):
Dy: 0.163 0.163 0.219
Dy: 0.166 0.166 0.555
Dy: 0.168 0.168 0.891
Dy: 0.832 0.832 0.109
Dy: 0.834 0.834 0.445
Dy: 0.837 0.837 0.781
Ho: 0.498 0.498 0.330
Ho: 0.502 0.502 0.670
Sc: 0.500 0.500 0.000

Results
Its space group is C2/m (12). The density of states at the Fermi level comes out at 11.6 states/eV/cell.

***

Version Q
Computed, not measured: crystalline Dy6Ho2Sc at its relaxed geometry at the PBE-GGA level of DFT.

Cell lengths 9.448, 9.448, 7.040 Å; angles 108.62, 108.62, 80.63 degrees
Positions (direct):
Dy: 0.057 0.494 0.272
Dy: 0.137 0.850 0.981
Dy: 0.150 0.863 0.519
Dy: 0.325 0.464 0.783
Dy: 0.464 0.325 0.283
Dy: 0.494 0.057 0.772
Dy: 0.506 0.943 0.228
Dy: 0.536 0.675 0.717
Dy: 0.675 0.536 0.217
Dy: 0.850 0.137 0.481
Dy: 0.863 0.150 0.019
Dy: 0.943 0.506 0.728
Ho: 0.164 0.194 0.895
Ho: 0.194 0.164 0.395
Ho: 0.806 0.836 0.605
Ho: 0.836 0.806 0.105
Sc: 0.340 0.660 0.250
Sc: 0.660 0.340 0.750

Results
Its space group is C2/c (15). The density of states at the Fermi level comes out at 27.6 states/eV/cell.

***

Stability, descending: version P, version Q

***

Version P
Computed, not measured: crystalline DyHo12Sc7 at its relaxed geometry at the PBE-GGA level of DFT.

Cell lengths 9.446, 9.446, 9.446 Å; angles 109.47, 109.47, 109.47 degrees
Positions (direct):
Dy: 0.000 0.000 0.000
Ho: 0.000 0.259 0.741
Ho: 0.000 0.741 0.259
Ho: 0.259 0.000 0.741
Ho: 0.259 0.259 0.518
Ho: 0.259 0.518 0.259
Ho: 0.259 0.741 0.000
Ho: 0.482 0.741 0.741
Ho: 0.518 0.259 0.259
Ho: 0.741 0.000 0.259
Ho: 0.741 0.259 0.000
Ho: 0.741 0.482 0.741
Ho: 0.741 0.741 0.482
Sc: 0.000 0.000 0.500
Sc: 0.000 0.500 0.000
Sc: 0.000 0.500 0.500
Sc: 0.500 0.000 0.000
Sc: 0.500 0.000 0.500
Sc: 0.500 0.500 0.000
Sc: 0.500 0.500 0.500

Results
Its space group is Im-3m (229). The density of states at the Fermi level comes out at 32.4 states/eV/cell.

***

Version Q
Computed, not measured: crystalline DyHo12Sc7 at its relaxed geometry at the PBE-GGA level of DFT.

Cell lengths 9.007, 9.007, 9.007 Å; angles 108.32, 108.32, 108.32 degrees
Positions (direct):
Dy: 0.000 0.000 0.000
Ho: 0.067 0.297 0.407
Ho: 0.199 0.675 0.382
Ho: 0.297 0.407 0.067
Ho: 0.325 0.618 0.801
Ho: 0.382 0.199 0.675
Ho: 0.407 0.067 0.297
Ho: 0.593 0.933 0.703
Ho: 0.618 0.801 0.325
Ho: 0.675 0.382 0.199
Ho: 0.703 0.593 0.933
Ho: 0.801 0.325 0.618
Ho: 0.933 0.703 0.593
Sc: 0.004 0.105 0.685
Sc: 0.105 0.685 0.004
Sc: 0.315 0.996 0.895
Sc: 0.500 0.500 0.500
Sc: 0.685 0.004 0.105
Sc: 0.895 0.315 0.996
Sc: 0.996 0.895 0.315

Results
Its space group is R-3 (148). The density of states at the Fermi level comes out at 38.7 states/eV/cell.

***

Stability, descending: version Q, version P

***

Version P
Computed, not measured: crystalline Dy5Ho4Sc2 at its relaxed geometry at the PBE-GGA level of DFT.

Cell lengths 3.596, 8.971, 11.034 Å; angles 108.25, 99.37, 90.01 degrees
Positions (direct):
Dy: 0.000 0.000 0.000
Dy: 0.168 0.932 0.336
Dy: 0.269 0.345 0.538
Dy: 0.731 0.655 0.462
Dy: 0.832 0.068 0.664
Ho: 0.373 0.758 0.744
Ho: 0.478 0.296 0.956
Ho: 0.522 0.704 0.044
Ho: 0.627 0.242 0.256
Sc: 0.100 0.527 0.200
Sc: 0.900 0.473 0.800

Results
Its space group is P-1 (2). The density of states at the Fermi level comes out at 16.0 states/eV/cell.

***

Version Q
Computed, not measured: crystalline Dy5Ho4Sc2 at its relaxed geometry at the PBE-GGA level of DFT.

Cell lengths 11.765, 11.765, 8.418 Å; angles 94.82, 94.82, 16.94 degrees
Positions (direct):
Dy: 0.000 0.000 0.000
Dy: 0.318 0.318 0.524
Dy: 0.371 0.371 0.960
Dy: 0.629 0.629 0.040
Dy: 0.682 0.682 0.476
Ho: 0.224 0.224 0.826
Ho: 0.462 0.462 0.653
Ho: 0.538 0.538 0.347
Ho: 0.776 0.776 0.174
Sc: 0.088 0.088 0.694
Sc: 0.912 0.912 0.306

Results
Its space group is C2/m (12). The density of states at the Fermi level comes out at 18.5 states/eV/cell.

***

Stability, descending: version P, version Q

***

Version P
Computed, not measured: crystalline Dy4Ho6Sc at its relaxed geometry at the PBE-GGA level of DFT.

Cell lengths 9.618, 9.618, 9.618 Å; angles 140.74, 140.74, 56.73 degrees
Positions (direct):
Dy: 0.187 0.187 0.641
Dy: 0.454 0.813 0.000
Dy: 0.546 0.546 0.359
Dy: 0.813 0.454 0.000
Ho: 0.000 0.500 0.500
Ho: 0.015 0.645 0.000
Ho: 0.355 0.355 0.370
Ho: 0.500 0.000 0.500
Ho: 0.645 0.015 0.000
Ho: 0.985 0.985 0.630
Sc: 0.000 0.000 0.000

Results
Its space group is I-42m (121). The density of states at the Fermi level comes out at 12.8 states/eV/cell.

***

Version Q
Computed, not measured: crystalline Dy4Ho6Sc at its relaxed geometry at the PBE-GGA level of DFT.

Cell lengths 5.523, 5.523, 25.413 Å; angles 90.00, 90.00, 119.15 degrees
Positions (direct):
Dy: 0.021 0.979 0.622
Dy: 0.021 0.979 0.878
Dy: 0.340 0.660 0.544
Dy: 0.340 0.660 0.956
Dy: 0.660 0.340 0.044
Dy: 0.660 0.340 0.456
Dy: 0.979 0.021 0.122
Dy: 0.979 0.021 0.378
Ho: 0.000 0.000 0.000
Ho: 0.000 0.000 0.500
Ho: 0.015 0.985 0.750
Ho: 0.316 0.684 0.107
Ho: 0.316 0.684 0.393
Ho: 0.350 0.650 0.683
Ho: 0.350 0.650 0.817
Ho: 0.650 0.350 0.183
Ho: 0.650 0.350 0.317
Ho: 0.684 0.316 0.607
Ho: 0.684 0.316 0.893
Ho: 0.985 0.015 0.250
Sc: 0.319 0.681 0.250
Sc: 0.681 0.319 0.750

Results
Its space group is Cmcm (63). The density of states at the Fermi level comes out at 38.6 states/eV/cell.

***

Stability, descending: version Q, version P

***

Version P
Computed, not measured: crystalline DyYHoSc at its relaxed geometry at the PBE-GGA level of DFT.

Cell lengths 7.832, 7.832, 7.832 Å; angles 90.00, 90.00, 90.00 degrees
Positions (direct):
Dy: 0.000 0.000 0.000
Dy: 0.000 0.500 0.500
Dy: 0.500 0.000 0.500
Dy: 0.500 0.500 0.000
Y: 0.000 0.000 0.500
Y: 0.000 0.500 0.000
Y: 0.500 0.000 0.000
Y: 0.500 0.500 0.500
Ho: 0.250 0.250 0.750
Ho: 0.250 0.750 0.250
Ho: 0.750 0.250 0.250
Ho: 0.750 0.750 0.750
Sc: 0.250 0.250 0.250
Sc: 0.250 0.750 0.750
Sc: 0.750 0.250 0.750
Sc: 0.750 0.750 0.250

Results
Its space group is F-43m (216). The density of states at the Fermi level comes out at 35.3 states/eV/cell.

***

Version Q
Computed, not measured: crystalline DyYHoSc at its relaxed geometry at the PBE-GGA level of DFT.

Cell lengths 4.936, 4.936, 9.746 Å; angles 90.00, 90.00, 90.00 degrees
Positions (direct):
Dy: 0.000 0.000 0.000
Dy: 0.500 0.500 0.500
Y: 0.000 0.000 0.500
Y: 0.500 0.500 0.000
Ho: 0.000 0.500 0.750
Ho: 0.500 0.000 0.250
Sc: 0.000 0.500 0.250
Sc: 0.500 0.000 0.750

Results
Its space group is I-4m2 (119). The density of states at the Fermi level comes out at 13.0 states/eV/cell.

***

Stability, descending: version Q, version P

***

Version P
Computed, not measured: crystalline DyHoScZn at its relaxed geometry at the PBE-GGA level of DFT.

Cell lengths 3.509, 3.509, 8.228 Å; angles 90.00, 90.00, 90.00 degrees
Positions (direct):
Dy: 0.000 0.000 0.000
Ho: 0.000 0.000 0.563
Sc: 0.500 0.500 0.283
Zn: 0.500 0.500 0.780

Results
Its space group is P4mm (99). The density of states at the Fermi level comes out at 4.6 states/eV/cell.

***

Version Q
Computed, not measured: crystalline DyHoScZn at its relaxed geometry at the PBE-GGA level of DFT.

Cell lengths 7.351, 7.351, 7.351 Å; angles 90.00, 90.00, 90.00 degrees
Positions (direct):
Dy: 0.000 0.000 0.000
Dy: 0.000 0.500 0.500
Dy: 0.500 0.000 0.500
Dy: 0.500 0.500 0.000
Ho: 0.000 0.000 0.500
Ho: 0.000 0.500 0.000
Ho: 0.500 0.000 0.000
Ho: 0.500 0.500 0.500
Sc: 0.250 0.250 0.250
Sc: 0.250 0.750 0.750
Sc: 0.750 0.250 0.750
Sc: 0.750 0.750 0.250
Zn: 0.250 0.250 0.750
Zn: 0.250 0.750 0.250
Zn: 0.750 0.250 0.250
Zn: 0.750 0.750 0.750

Results
Its space group is F-43m (216). The density of states at the Fermi level comes out at 16.5 states/eV/cell.

***

Stability, descending: version P, version Q

***

Version P
Computed, not measured: crystalline Dy2HoSe at its relaxed geometry at the PBE-GGA level of DFT.

Cell lengths 3.603, 3.603, 8.433 Å; angles 90.00, 90.00, 90.00 degrees
Positions (direct):
Dy: 0.000 0.000 0.210
Dy: 0.000 0.000 0.790
Ho: 0.500 0.500 0.500
Se: 0.500 0.500 0.000

Results
Its space group is P4/mmm (123). The density of states at the Fermi level comes out at 4.0 states/eV/cell.

***

Version Q
Computed, not measured: crystalline Dy2HoSe at its relaxed geometry at the PBE-GGA level of DFT.

Cell lengths 3.702, 3.702, 30.966 Å; angles 90.00, 90.00, 120.00 degrees
Positions (direct):
Dy: 0.000 0.000 0.108
Dy: 0.000 0.000 0.892
Dy: 0.333 0.667 0.558
Dy: 0.333 0.667 0.775
Dy: 0.667 0.333 0.225
Dy: 0.667 0.333 0.442
Ho: 0.000 0.000 0.000
Ho: 0.333 0.667 0.667
Ho: 0.667 0.333 0.333
Se: 0.000 0.000 0.500
Se: 0.333 0.667 0.167
Se: 0.667 0.333 0.833

Results
Its space group is R-3m (166). The density of states at the Fermi level comes out at 14.8 states/eV/cell.

***

Version R
Computed, not measured: crystalline Dy2HoSe at its relaxed geometry at the PBE-GGA level of DFT.

Cell lengths 3.784, 3.784, 28.121 Å; angles 90.00, 90.00, 120.00 degrees
Positions (direct):
Dy: 0.000 0.000 0.000
Dy: 0.000 0.000 0.201
Dy: 0.333 0.667 0.667
Dy: 0.333 0.667 0.868
Dy: 0.667 0.333 0.333
Dy: 0.667 0.333 0.534
Ho: 0.000 0.000 0.768
Ho: 0.333 0.667 0.434
Ho: 0.667 0.333 0.101
Se: 0.000 0.000 0.601
Se: 0.333 0.667 0.267
Se: 0.667 0.333 0.934

Results
Its space group is R3m (160). The density of states at the Fermi level comes out at 11.2 states/eV/cell.

***

Stability, descending: version R, version P, version Q

***

Version P
Computed, not measured: crystalline DyHo2Se at its relaxed geometry at the PBE-GGA level of DFT.

Cell lengths 3.595, 3.595, 8.422 Å; angles 90.00, 90.00, 90.00 degrees
Positions (direct):
Dy: 0.000 0.000 0.000
Ho: 0.500 0.500 0.290
Ho: 0.500 0.500 0.710
Se: 0.000 0.000 0.500

Results
Its space group is P4/mmm (123). The density of states at the Fermi level comes out at 4.2 states/eV/cell.

***

Version Q
Computed, not measured: crystalline DyHo2Se at its relaxed geometry at the PBE-GGA level of DFT.

Cell lengths 3.769, 3.769, 28.123 Å; angles 90.00, 90.00, 120.00 degrees
Positions (direct):
Dy: 0.000 0.000 0.000
Dy: 0.333 0.667 0.667
Dy: 0.667 0.333 0.333
Ho: 0.000 0.000 0.567
Ho: 0.000 0.000 0.768
Ho: 0.333 0.667 0.233
Ho: 0.333 0.667 0.435
Ho: 0.667 0.333 0.101
Ho: 0.667 0.333 0.900
Se: 0.000 0.000 0.167
Se: 0.333 0.667 0.834
Se: 0.667 0.333 0.500

Results
Its space group is R3m (160). The density of states at the Fermi level comes out at 11.3 states/eV/cell.

***

Stability, descending: version Q, version P